This record from Alexandria via LeMat-Bulk describes a geometry-optimized LiTm2S3 structure. The functional is PBE.

Unit cell a=6.6196 b=6.6196 c=6.6196 alpha=146.53 beta=131.81 gamma=59.94
Closest atoms and distances in Å follow each position.
Fractional positions:
Li 0.0000 0.0000 0.0000  6 S 2.68-2.70
Tm 0.3351 0.3351 0.0000  6 S 2.68-2.74
Tm 0.6649 0.6649 0.0000  6 S 2.68-2.74
S 0.1639 0.6639 0.5000  2 Li 2.68, 4 Tm 2.70-2.74
S 0.5000 0.0000 0.5000  4 Tm 2.68, 2 Li 2.70
S 0.8361 0.3361 0.5000  2 Li 2.68, 4 Tm 2.70-2.74

Results
space-group type: Immm (71)
offset from the most stable computed form: 0 meV/atom

This record from Alexandria via LeMat-Bulk describes a geometry-optimized Tm2Ge4Ir3 structure. The functional is PBE.

Unit cell a=7.8067 b=6.7418 c=5.5518 alpha=78.18 beta=57.70 gamma=44.11
Closest atoms and distances in Å follow each position.
Fractional positions:
Tm 0.1297 0.1297 0.8703  8 Ge 3.02-3.24, 1 Tm 3.19, 6 Ir 3.19-3.20
Tm 0.8703 0.8703 0.1297  8 Ge 3.02-3.24, 1 Tm 3.19, 6 Ir 3.19-3.20
Ge 0.1729 0.5041 0.4959  3 Ir 2.55, 1 Ge 2.72
Ge 0.4959 0.8271 0.1729  3 Ir 2.55, 1 Ge 2.72
Ge 0.5041 0.1729 0.8271  3 Ir 2.55, 1 Ge 2.72
Ge 0.8271 0.4959 0.5041  3 Ir 2.55, 1 Ge 2.72
Ir 0.0000 0.0000 0.5000  4 Ge 2.55, 4 Ir 2.77-2.78
Ir 0.5000 0.5000 0.0000  4 Ge 2.55, 4 Ir 2.77-2.78
Ir 0.5000 0.5000 0.5000  4 Ge 2.55, 4 Ir 2.78

Results
space-group type: Fmmm (69)
ΔE_f: -0.63 eV per atom

This record from Alexandria via LeMat-Bulk describes a geometry-optimized Ba4Hg2N structure. The functional is PBE.

Unit cell a=7.7296 b=8.1446 c=10.0749 alpha=90.00 beta=108.53 gamma=90.00
Closest atoms and distances in Å follow each position.
Fractional positions:
Ba 0.0130 0.0119 0.2388  1 N 2.51
Ba 0.0130 0.4881 0.2388  1 N 2.51
Ba 0.3892 0.2500 0.5600  1 N 2.51
Ba 0.4288 0.2500 0.1459  1 N 2.51
Ba 0.5712 0.7500 0.8541  1 N 2.51
Ba 0.6108 0.7500 0.4400  1 N 2.51
Ba 0.9870 0.5119 0.7612  1 N 2.51
Ba 0.9870 0.9881 0.7612  1 N 2.51
Hg 0.1887 0.7500 0.5403  6 Ba 3.58-3.71
Hg 0.2692 0.7500 0.0721  6 Ba 3.66-3.81
Hg 0.7308 0.2500 0.9279  6 Ba 3.66-3.81
Hg 0.8113 0.2500 0.4597  6 Ba 3.58-3.71
N 0.2300 0.2500 0.3004  4 Ba 2.51
N 0.7700 0.7500 0.6996  4 Ba 2.51

Results
space-group type: P2_1/m (11)
offset from the most stable computed form: 0 meV/atom

This record from Alexandria via LeMat-Bulk describes a geometry-optimized CaPmBiO2 structure. The functional is PBE.

Unit cell a=8.1510 b=8.1510 c=8.1510 alpha=151.71 beta=151.71 gamma=40.44
Closest atoms and distances in Å follow each position.
Fractional positions:
Ca 0.0000 0.0000 0.0000  4 O 2.26
Pm 0.3631 0.3631 0.0000  4 O 2.25
Bi 0.6837 0.6837 0.0000  4 Pm 3.93, 4 Ca 3.98, 4 Bi 3.98, 8 O 4.27-4.35
O 0.4308 0.9308 0.5000  2 Pm 2.25, 2 Ca 2.26
O 0.9308 0.4308 0.5000  2 Pm 2.25, 2 Ca 2.26

Results
space-group type: I4mm (107)
raw total energy: -6.401 eV per atom

This record from Alexandria via LeMat-Bulk describes a geometry-optimized BHS2Cl structure. The functional is PBE.

Unit cell a=3.5606 b=3.5606 c=7.1753 alpha=90.00 beta=90.00 gamma=90.00
Closest atoms and distances in Å follow each position.
Fractional positions:
B 0.0000 0.0000 0.0000  4 Cl 2.52
H 0.5000 0.5000 0.5000  4 S 1.78
S 0.0000 0.5000 0.5000  2 H 1.78
S 0.5000 0.0000 0.5000  2 H 1.78
Cl 0.5000 0.5000 0.0000  4 B 2.52

Results
space-group type: P4/mmm (123)
offset from the most stable computed form: 41 meV/atom

This record from Alexandria via LeMat-Bulk describes a geometry-optimized PmZnPdO4 structure. The functional is PBE.

Unit cell a=6.4180 b=6.4180 c=6.4180 alpha=118.84 beta=115.74 gamma=94.78
Closest atoms and distances in Å follow each position.
Fractional positions:
Pm 0.0000 0.0000 0.0000  6 O 2.33-2.35
Pm 0.5000 0.0000 0.5000  6 O 2.33-2.35
Zn 0.3569 0.6069 0.7500  4 O 1.97-2.16
Zn 0.6431 0.3931 0.2500  4 O 1.97-2.16
Pd 0.0000 0.0000 0.5000  6 O 2.09-2.25
Pd 0.0000 0.5000 0.0000  6 O 2.09-2.25
O 0.2049 0.7299 0.4750  1 Zn 2.16, 2 Pd 2.25, 1 Pm 2.35
O 0.2402 0.2319 0.4917  1 Zn 1.97, 1 Pd 2.09
O 0.2402 0.7485 0.0083  1 Zn 1.97, 1 Pd 2.09
O 0.2450 0.2701 0.9750  1 Zn 2.16, 2 Pd 2.25, 1 Pm 2.35
O 0.7550 0.7299 0.0250  1 Zn 2.16, 2 Pd 2.25, 1 Pm 2.35
O 0.7598 0.2515 0.9917  1 Zn 1.97, 1 Pd 2.09
O 0.7598 0.7681 0.5083  1 Zn 1.97, 1 Pd 2.09
O 0.7951 0.2701 0.5250  1 Zn 2.16, 2 Pd 2.25, 1 Pm 2.35

Results
space-group type: Imma (74)
raw total energy: -6.019 eV per atom

This record from Alexandria via LeMat-Bulk describes a geometry-optimized K3Zr3CuS8 structure. The functional is PBE.

Unit cell a=7.4704 b=7.4704 c=8.4866 alpha=114.47 beta=114.47 gamma=62.20
Closest atoms and distances in Å follow each position.
Fractional positions:
K 0.0000 0.0000 0.0000  6 S 3.12-3.20
K 0.0000 0.5000 0.0000  6 S 3.12-3.21
K 0.5000 0.0000 0.0000  6 S 3.12-3.21
Zr 0.0000 0.5000 0.5000  6 S 2.54-2.64
Zr 0.5000 0.0000 0.5000  6 S 2.54-2.64
Zr 0.5000 0.5000 0.5000  6 S 2.57-2.62
Cu 0.0000 0.0000 0.5000  2 S 2.39
S 0.2131 0.2131 0.6753  1 Cu 2.39, 2 Zr 2.62
S 0.2423 0.7090 0.6958  2 Zr 2.54-2.57, 1 Cu 2.76
S 0.2668 0.2668 0.3008  3 Zr 2.62-2.64
S 0.2910 0.7577 0.3042  2 Zr 2.54-2.57, 1 Cu 2.76
S 0.7090 0.2423 0.6958  2 Zr 2.54-2.57, 1 Cu 2.76
S 0.7332 0.7332 0.6992  3 Zr 2.62-2.64
S 0.7577 0.2910 0.3042  2 Zr 2.54-2.57, 1 Cu 2.76
S 0.7869 0.7869 0.3247  1 Cu 2.39, 2 Zr 2.62

Results
space-group type: C2/m (12)
raw total energy: -5.707 eV per atom

This record from Alexandria via LeMat-Bulk describes a geometry-optimized CeAlPt structure. The functional is PBE.

Unit cell a=6.5519 b=6.5519 c=4.5394 alpha=90.00 beta=90.00 gamma=130.83
Closest atoms and distances in Å follow each position.
Fractional positions:
Ce 0.1642 0.8358 0.7500  2 Pt 2.73
Ce 0.8358 0.1642 0.2500  2 Pt 2.73
Al 0.4365 0.5635 0.7500  3 Pt 2.52-2.60, 2 Al 2.73
Al 0.5635 0.4365 0.2500  3 Pt 2.52-2.60, 2 Al 2.73
Pt 0.3453 0.6547 0.2500  3 Al 2.52-2.60, 2 Ce 2.73
Pt 0.6547 0.3453 0.7500  3 Al 2.52-2.60, 2 Ce 2.73

Results
space-group type: Cmcm (63)
ΔE_f: -0.78 eV per atom

This record from Alexandria via LeMat-Bulk describes a geometry-optimized PmTh2Pt2 structure. The functional is PBE.

Unit cell a=8.1819 b=8.1819 c=3.8472 alpha=90.00 beta=90.00 gamma=90.00
Closest atoms and distances in Å follow each position.
Fractional positions:
Pm 0.0000 0.0000 0.0000  4 Pt 3.21
Pm 0.5000 0.5000 0.0000  4 Pt 3.21
Th 0.1674 0.3326 0.5000  6 Pt 3.04-3.12
Th 0.3326 0.8326 0.5000  6 Pt 3.04-3.12
Th 0.6674 0.1674 0.5000  6 Pt 3.04-3.12
Th 0.8326 0.6674 0.5000  6 Pt 3.04-3.12
Pt 0.1297 0.6297 0.0000  1 Pt 3.00, 6 Th 3.04-3.12, 2 Pm 3.21
Pt 0.3703 0.1297 0.0000  1 Pt 3.00, 6 Th 3.04-3.12, 2 Pm 3.21
Pt 0.6297 0.8703 0.0000  1 Pt 3.00, 6 Th 3.04-3.12, 2 Pm 3.21
Pt 0.8703 0.3703 0.0000  1 Pt 3.00, 6 Th 3.04-3.12, 2 Pm 3.21

Results
space-group type: P4/mbm (127)
ΔE_f: -0.96 eV per atom

This record from Alexandria via LeMat-Bulk describes a geometry-optimized HfAl2Mo2 structure. The functional is PBE.

Unit cell a=7.8462 b=7.8462 c=2.7726 alpha=90.00 beta=90.00 gamma=90.00
Closest atoms and distances in Å follow each position.
Fractional positions:
Hf 0.0000 0.0000 0.0000  2 Hf 2.77
Hf 0.5000 0.5000 0.0000  2 Hf 2.77
Al 0.1788 0.3212 0.5000  6 Mo 2.65-2.75, 2 Al 2.77
Al 0.3212 0.8212 0.5000  6 Mo 2.65-2.75, 2 Al 2.77
Al 0.6788 0.1788 0.5000  6 Mo 2.65-2.75, 2 Al 2.77
Al 0.8212 0.6788 0.5000  6 Mo 2.65-2.75, 2 Al 2.77
Mo 0.1179 0.6179 0.0000  3 Mo 2.62-2.77, 6 Al 2.65-2.75
Mo 0.3821 0.1179 0.0000  3 Mo 2.62-2.77, 6 Al 2.65-2.75
Mo 0.6179 0.8821 0.0000  3 Mo 2.62-2.77, 6 Al 2.65-2.75
Mo 0.8821 0.3821 0.0000  3 Mo 2.62-2.77, 6 Al 2.65-2.75

Results
space-group type: P4/mbm (127)
ΔE_f: -0.02 eV per atom
offset from the most stable computed form: 240 meV/atom

This record from Alexandria via LeMat-Bulk describes a geometry-optimized P4Rh3 structure. The functional is PBE.

Unit cell a=5.4493 b=5.4493 c=4.0495 alpha=90.00 beta=90.00 gamma=120.00
Closest atoms and distances in Å follow each position.
Fractional positions:
P 0.0000 0.0000 0.2478  2 P 2.01-2.04
P 0.0000 0.0000 0.7522  2 P 2.01-2.04
P 0.3333 0.6667 0.0000  6 Rh 2.56
P 0.6667 0.3333 0.0000  6 Rh 2.56
Rh 0.0000 0.5000 0.5000  4 P 2.56, 4 Rh 2.72
Rh 0.5000 0.0000 0.5000  4 P 2.56, 4 Rh 2.72
Rh 0.5000 0.5000 0.5000  4 P 2.56, 4 Rh 2.72

Results
space-group type: P6/mmm (191)
ΔE_f: 0.25 eV per atom